{
  "formula": "MnInClO2",
  "functional": "PBE with a Hubbard U",
  "state": "relaxed",
  "lattice_angstrom": [[3.756, 0.000, 0.000], [0.000, 8.475, -1.956], [0.000, -4.520, 7.043]],
  "species": ["O", "O", "O", "O", "Cl", "Cl", "Mn", "Mn", "In", "In"],
  "fractional_positions": [[0.250, 0.573, 0.175], [0.750, 0.467, 0.348], [0.250, 0.533, 0.652], [0.750, 0.427, 0.825], [0.750, 0.951, 0.191], [0.250, 0.049, 0.809], [0.750, 0.368, 0.520], [0.250, 0.632, 0.480], [0.750, 0.375, 0.039], [0.250, 0.625, 0.961]],
  "space_group": "No. 11",
  "energy_ev_per_atom": -5.82,
  "rho_g_cm3": 4.12
}